A plane-wave DFT calculation with PBE-GGA was carried out for a relaxed structure of Ce4PuTl3.

Space-group type: Pnma, No. 62
DFT formation energy in eV/atom: -0.131
N(E_F) in states/eV per cell: 56.73
Total magnetic moment in μB per cell: 28.35
E_tot in eV/atom: -5.78

Lattice parameters (Å, degrees): 9.3256 11.1167 8.6702 90.00 90.00 90.00
Positions (direct):
Ce1 0.0815 0.2500 0.0975
Ce2 0.1875 0.0261 0.4834
Ce3 0.1875 0.4739 0.4834
Ce4 0.2209 0.7500 0.2272
Ce5 0.2791 0.2500 0.7272
Ce6 0.3125 0.5261 0.9834
Ce7 0.3125 0.9739 0.9834
Ce8 0.4185 0.7500 0.5975
Ce9 0.5815 0.2500 0.4025
Ce10 0.6875 0.0261 0.0166
Ce11 0.6875 0.4739 0.0166
Ce12 0.7209 0.7500 0.2728
Ce13 0.7791 0.2500 0.7728
Ce14 0.8125 0.5261 0.5166
Ce15 0.8125 0.9739 0.5166
Ce16 0.9185 0.7500 0.9025
Pu1 0.2049 0.7500 0.9275
Pu2 0.2951 0.2500 0.4275
Pu3 0.7049 0.7500 0.5725
Pu4 0.7951 0.2500 0.0725
Tl1 0.0105 0.0362 0.8222
Tl2 0.0105 0.4638 0.8222
Tl3 0.0574 0.7500 0.5584
Tl4 0.4426 0.2500 0.0584
Tl5 0.4895 0.5362 0.3222
Tl6 0.4895 0.9638 0.3222
Tl7 0.5105 0.0362 0.6778
Tl8 0.5105 0.4638 0.6778
Tl9 0.5574 0.7500 0.9416
Tl10 0.9426 0.2500 0.4416
Tl11 0.9895 0.5362 0.1778
Tl12 0.9895 0.9638 0.1778

A plane-wave DFT calculation with PBE-GGA was carried out for a relaxed structure of CeYPuTl.

Space-group type: F-43m, No. 216
DFT formation energy in eV/atom: 0.036
N(E_F) in states/eV per cell: 7.94
Total magnetic moment in μB per cell: 8.72
E_tot in eV/atom: -7.24

Lattice parameters (Å, degrees): 5.3767 5.3767 5.3767 60.00 60.00 60.00
Positions (direct):
Ce1 0.0000 0.0000 0.0000
Y1 0.2500 0.2500 0.2500
Pu1 0.7500 0.7500 0.7500
Tl1 0.5000 0.5000 0.5000

> Which of these has the lowest N(E_F)?

CeYPuTl

> Look up the N(E_F) of the second one.

7.94 states/eV per cell

> Which of these has the lowest N(E_F)?

CeYPuTl